--- a ---
A plane-wave DFT calculation with GGA-PBE was carried out for crystalline LiMo2P2 at its relaxed geometry.

Structure (POSCAR):
```
LiMo2P2
1.0
-1.2502 4.4117 0.2531
-4.4027 -1.2660 0.3207
-2.4862 1.4329 4.4062
P Li Mo
2 1 2
Direct
0.7500 0.2500 0.5000
0.2500 0.7500 0.5000
0.0000 0.0000 0.0000
0.6363 0.6363 0.7274
0.3637 0.3637 0.2726
```

Summary:
For the magnetic moment, the calculation gives 0.0 μB/f.u. Its crystal system is tetragonal.


--- b ---
A plane-wave DFT calculation with GGA-PBE was carried out for crystalline LiMo2P2 at its relaxed geometry.

Structure (POSCAR):
```
LiMo2P2
1.0
-4.6716 4.3939 -1.5210
-2.1687 -3.9663 -4.7967
-1.9854 -1.3996 2.0549
Mo P Li
4 4 2
Direct
0.8482 0.3482 0.5000
0.3482 0.1518 0.5000
0.1518 0.6518 0.5000
0.6518 0.8482 0.5000
0.8570 0.6430 0.0000
0.1430 0.3570 0.0000
0.3570 0.8570 0.0000
0.6430 0.1430 0.0000
0.5000 0.5000 0.0000
0.0000 0.0000 0.0000
```

Summary:
For the magnetic moment, the calculation gives 0.0 μB/f.u. Its crystal system is tetragonal.


Which is the most stable structure? b is the most stable.


--- a ---
A plane-wave DFT calculation with GGA-PBE was carried out for crystalline LiMoP2S at its relaxed geometry.

Structure (POSCAR):
```
LiMoP2S
1.0
4.6969 0.0000 0.0000
0.0000 4.6969 0.0000
0.0000 0.0000 4.8115
P Mo S Li
2 1 1 1
Direct
0.0000 0.5000 0.0000
0.5000 0.0000 0.0000
0.0000 0.0000 0.0000
0.0000 0.0000 0.5000
0.5000 0.5000 0.5000
```

Summary:
For the magnetic moment, the calculation gives 0.0 μB/f.u. Its crystal system is tetragonal.


--- b ---
A plane-wave DFT calculation with GGA-PBE was carried out for crystalline LiMoP2S at its relaxed geometry.

Structure (POSCAR):
```
LiMoP2S
1.0
-2.3260 3.1284 1.6109
-2.9204 -0.6391 -2.9757
-1.9861 -2.7888 2.5482
Li P Mo S
1 2 1 1
Direct
0.0000 0.0000 0.0000
0.0000 0.5000 0.0000
0.5000 0.0000 0.0000
0.5000 0.5000 0.5000
0.0000 0.0000 0.5000
```

Summary:
For the magnetic moment, the calculation gives 0.0 μB/f.u. Its crystal system is tetragonal.


Which is the most stable structure? a is the most stable.


--- a ---
A plane-wave DFT calculation with GGA-PBE was carried out for crystalline LiMoPS2 at its relaxed geometry.

Structure (POSCAR):
```
LiMoPS2
1.0
4.7529 0.0000 0.0000
0.0000 4.7529 0.0000
0.0000 0.0000 4.6977
P Li S Mo
1 1 2 1
Direct
0.0000 0.0000 0.5000
0.5000 0.5000 0.5000
0.0000 0.5000 0.0000
0.5000 0.0000 0.0000
0.0000 0.0000 0.0000
```

Summary:
For the magnetic moment, the calculation gives 0.0 μB/f.u. Its crystal system is tetragonal.


--- b ---
A plane-wave DFT calculation with GGA-PBE was carried out for crystalline LiMoPS2 at its relaxed geometry.

Structure (POSCAR):
```
LiMoPS2
1.0
4.2932 0.0000 0.0000
0.0000 4.2932 0.0000
0.0000 0.0000 4.1757
S Li P Mo
2 1 1 1
Direct
0.0000 0.5000 0.0000
0.5000 0.0000 0.0000
0.0000 0.0000 0.0000
0.0000 0.0000 0.5000
0.5000 0.5000 0.5000
```

Summary:
For the magnetic moment, the calculation gives 0.0 μB/f.u. Its crystal system is tetragonal.


Which is the most stable structure? a is the most stable.


--- a ---
A plane-wave DFT calculation with GGA-PBE was carried out for crystalline LiMoPb2 at its relaxed geometry.

Structure (POSCAR):
```
LiMoPb2
1.0
-2.4401 -1.5790 -3.8989
1.4037 -4.5543 0.9680
-2.8444 -0.4588 1.9659
Pb Mo Li
2 1 1
Direct
0.5000 0.5000 0.0000
0.0000 0.0000 0.0000
0.0000 0.5000 0.5000
0.5000 0.0000 0.5000
```

Summary:
For the magnetic moment, the calculation gives 0.0 μB/f.u. Its crystal system is tetragonal.


--- b ---
A plane-wave DFT calculation with GGA-PBE was carried out for crystalline LiMoPb2 at its relaxed geometry.

Structure (POSCAR):
```
LiMoPb2
1.0
-3.0286 0.5413 0.4691
-1.0186 -2.1639 -4.0792
-0.4753 -5.1123 2.8306
Pb Mo Li
2 1 1
Direct
0.0000 0.0000 0.9441
0.5000 0.5000 0.2968
0.5000 0.5000 0.7734
0.0000 0.0000 0.4856
```

Summary:
For the magnetic moment, the calculation gives 0.0 μB/f.u. Its crystal system is orthorhombic.


--- c ---
A plane-wave DFT calculation with GGA-PBE was carried out for crystalline LiMoPb2 at its relaxed geometry.

Structure (POSCAR):
```
LiMoPb2
1.0
3.8231 0.0000 0.0000
0.0000 3.8231 0.0000
0.0000 0.0000 5.7854
Pb Mo Li
2 1 1
Direct
0.0000 0.0000 0.9507
0.5000 0.5000 0.2871
0.5000 0.5000 0.7669
0.0000 0.0000 0.4953
```

Summary:
For the magnetic moment, the calculation gives 0.3 μB/f.u. Its crystal system is tetragonal.


--- d ---
A plane-wave DFT calculation with GGA-PBE was carried out for crystalline LiMoPb2 at its relaxed geometry.

Structure (POSCAR):
```
LiMoPb2
1.0
4.6249 0.0000 0.0000
0.0000 4.6249 0.0000
2.3125 2.3125 9.5782
Li Pb Mo
2 4 2
Direct
0.5000 0.5000 0.0000
0.2500 0.7500 0.5000
0.1232 0.6250 0.2500
0.8750 0.8768 0.7500
0.3750 0.3732 0.7500
0.6268 0.1250 0.2500
0.7500 0.2500 0.5000
0.0000 0.0000 0.0000
```

Summary:
For the magnetic moment, the calculation gives 3.0 μB/f.u. Its crystal system is tetragonal.


Which is the most stable structure? c is the most stable.


--- a ---
A plane-wave DFT calculation with GGA-PBE was carried out for crystalline LiMoPb2 at its relaxed geometry.

Structure (POSCAR):
```
LiMoPb2
1.0
-1.8116 5.4085 -0.4128
-4.3849 3.6647 -0.2172
-0.2423 0.9060 4.8899
Pb Mo Li
2 1 1
Direct
0.7526 0.7526 0.7080
0.9906 0.9906 0.0499
0.2464 0.2464 0.2221
0.5105 0.5105 0.5200
```

Summary:
For the magnetic moment, the calculation gives 0.0 μB/f.u. Its crystal system is monoclinic.


--- b ---
A plane-wave DFT calculation with GGA-PBE was carried out for crystalline LiMoPb2 at its relaxed geometry.

Structure (POSCAR):
```
LiMoPb2
1.0
5.1209 -0.2581 -0.1225
1.0656 5.0155 0.1225
-3.0204 -2.4735 3.3264
Pb Li Mo
2 1 1
Direct
0.5000 0.5000 0.0000
0.0000 0.0000 0.0000
0.7500 0.2500 0.5000
0.2500 0.7500 0.5000
```

Summary:
For the magnetic moment, the calculation gives 2.2 μB/f.u. Its crystal system is tetragonal.


Which is the most stable structure? a is the most stable.


--- a ---
A plane-wave DFT calculation with GGA-PBE was carried out for crystalline LiMoPb2 at its relaxed geometry.

Structure (POSCAR):
```
LiMoPb2
1.0
5.8007 -0.0079 0.0035
2.9305 5.0060 -0.0035
-4.1098 -2.9459 2.8424
Mo Li Pb
1 1 2
Direct
0.2487 0.7487 0.5000
0.4906 0.4906 0.0000
0.7495 0.2495 0.5000
0.0112 0.0112 0.0000
```

Summary:
For the magnetic moment, the calculation gives 0.0 μB/f.u. Its crystal system is orthorhombic.


--- b ---
A plane-wave DFT calculation with GGA-PBE was carried out for crystalline LiMoPb2 at its relaxed geometry.

Structure (POSCAR):
```
LiMoPb2
1.0
4.4745 0.0000 0.0000
0.0000 3.5794 -0.0071
0.0000 1.8039 5.2905
Pb Mo Li
2 1 1
Direct
0.5000 0.2562 0.3644
0.0000 0.9944 0.8841
0.5000 0.5334 0.8068
0.0000 0.7160 0.4446
```

Summary:
For the magnetic moment, the calculation gives 0.0 μB/f.u. Its crystal system is monoclinic.


Which is the most stable structure? b is the most stable.


--- a ---
A plane-wave DFT calculation with GGA-PBE was carried out for crystalline LiMoPb2 at its relaxed geometry.

Structure (POSCAR):
```
LiMoPb2
1.0
6.2833 0.0007 0.0019
-2.9676 4.6946 0.0027
0.3482 1.0297 2.9377
Pb Li Mo
2 1 1
Direct
0.5000 0.0000 0.5000
0.0000 0.0000 0.0000
0.0000 0.5000 0.5000
0.5000 0.5000 0.0000
```

Summary:
For the magnetic moment, the calculation gives 0.0 μB/f.u. Its crystal system is monoclinic.


--- b ---
A plane-wave DFT calculation with GGA-PBE was carried out for crystalline LiMoPb2 at its relaxed geometry.

Structure (POSCAR):
```
LiMoPb2
1.0
-0.5411 1.6271 3.1001
-2.4703 -2.4374 0.8481
2.1597 -6.1642 3.6123
Pb Mo Li
2 1 1
Direct
0.0000 0.0063 0.9940
0.0000 0.4937 0.5060
0.5000 0.7500 0.7500
0.5000 0.2500 0.2500
```

Summary:
For the magnetic moment, the calculation gives 0.0 μB/f.u. Its crystal system is orthorhombic.


--- c ---
A plane-wave DFT calculation with GGA-PBE was carried out for crystalline LiMoPb2 at its relaxed geometry.

Structure (POSCAR):
```
LiMoPb2
1.0
3.0814 0.3205 0.0000
-0.3298 3.0804 0.0000
0.0000 0.0000 9.3181
Pb Mo Li
2 1 1
Direct
0.0000 0.0000 0.9441
0.5000 0.5000 0.3242
0.5000 0.5000 0.7072
0.0000 0.0000 0.5245
```

Summary:
For the magnetic moment, the calculation gives 0.0 μB/f.u. Its crystal system is orthorhombic.


Which is the most stable structure? b is the most stable.


--- a ---
A plane-wave DFT calculation with GGA-PBE was carried out for crystalline LiMoPb2 at its relaxed geometry.

Structure (POSCAR):
```
LiMoPb2
1.0
3.1963 -0.0079 0.0000
-0.9409 3.0547 0.0000
0.0000 0.0000 9.0066
Pb Li Mo
2 1 1
Direct
0.0000 0.0000 0.5081
0.0000 0.0000 0.9919
0.5000 0.5000 0.2500
0.5000 0.5000 0.7500
```

Summary:
For the magnetic moment, the calculation gives 0.0 μB/f.u. Its crystal system is orthorhombic.


--- b ---
A plane-wave DFT calculation with GGA-PBE was carried out for crystalline LiMoPb2 at its relaxed geometry.

Structure (POSCAR):
```
LiMoPb2
1.0
9.3529 0.0078 0.0046
8.7641 3.2661 0.0046
8.7641 1.5837 2.8564
Pb Li Mo
2 1 1
Direct
0.4980 0.4980 0.4980
0.0020 0.0020 0.0020
0.2500 0.2500 0.2500
0.7500 0.7500 0.7500
```

Summary:
For the magnetic moment, the calculation gives 0.2 μB/f.u. Its crystal system is trigonal.


Which is the most stable structure? b is the most stable.